(1)
SmTh2In | PBE | relaxed Values from VASP.

## Properties
As for the density: 9.949 Mg/m³. Its total energy is -0.204 hartree per atom. Its crystal system is cubic. The value obtained for the calculated formation energy is 0.05 eV/f.u. The symmetry is Fm-3m, No. 225.

```
&SYSTEM
  ibrav = 0, nat = 4, ntyp = 3
/
ATOMIC_SPECIES
Th 232.04 Th.upf
Sm 150.36 Sm.upf
In 114.82 In.upf
ATOMIC_POSITIONS angstrom
Th 8.344 4.818 3.407
Th 2.781 1.606 1.136
Sm 5.563 3.212 2.271
In 0.000 0.000 0.000
CELL_PARAMETERS angstrom
5.563 0.000 0.000
2.781 4.818 0.000
2.781 1.606 4.542
```

(2)
HfAl3Zn | PBE | relaxed Values from VASP.

## Properties
As for the density: 3.636 Mg/m³. Its total energy is -0.125 hartree per atom. Its crystal system is cubic. The value obtained for the calculated formation energy is 5.48 eV/f.u. The symmetry is Pm-3m, No. 221.

```
&SYSTEM
  ibrav = 0, nat = 5, ntyp = 3
/
ATOMIC_SPECIES
Al 26.98 Al.upf
Zn 65.41 Zn.upf
Hf 178.49 Hf.upf
ATOMIC_POSITIONS angstrom
Al 0.000 0.000 2.647
Al 2.647 0.000 0.000
Al 0.000 2.647 0.000
Zn 2.647 2.647 2.647
Hf 0.000 0.000 0.000
CELL_PARAMETERS angstrom
5.294 0.000 0.000
0.000 5.294 0.000
0.000 0.000 5.294
```